No. 1
Na2TlPd2 after structural relaxation, computed with PBE.

```
Na2TlPd2
1.0
6.937 0.000 0.000
0.000 6.937 0.000
0.000 0.000 4.585
Tl Na Pd
2 4 4
direct
0.500 0.500 0.000
0.000 0.000 0.000
0.835 0.335 0.500
0.665 0.835 0.500
0.165 0.665 0.500
0.335 0.165 0.500
0.136 0.364 0.000
0.864 0.636 0.000
0.364 0.864 0.000
0.636 0.136 0.000
```

Computed properties:
Final energy ... -3.25 eV/atom
Volume ... 22.07 Å³/atom



No. 2
Nb3SeI3Br3Cl after structural relaxation, computed with PBE.

```
Nb3SeI3Br3Cl
1.0
-1.256 6.202 3.825
2.379 -6.074 3.482
6.693 2.012 -1.064
Br Nb I Cl Se
3 3 3 1 1
direct
0.332 0.166 0.251
0.834 0.668 0.251
0.834 0.166 0.251
0.733 0.867 0.492
0.133 0.267 0.492
0.133 0.867 0.492
0.503 0.497 0.720
0.995 0.497 0.720
0.503 0.005 0.720
0.333 0.667 0.325
0.000 0.000 0.756
```

Computed properties:
Final energy ... -4.93 eV/atom
Volume ... 30.43 Å³/atom



No. 3
ErNbHg after structural relaxation, computed with PBE.

```
ErNbHg
1.0
-3.316 -2.468 2.448
-4.109 -1.276 -2.138
-0.827 -4.613 -1.056
Hg Nb Er
1 1 1
direct
0.000 0.000 0.000
0.750 0.750 0.750
0.250 0.250 0.250
```

Computed properties:
Final energy ... -4.43 eV/atom
Volume ... 26.13 Å³/atom



No. 4
Pr2YNi2B2N3 after structural relaxation, computed with PBE.

```
Pr2YNi2B2N3
1.0
5.930 -1.224 8.447
1.722 -3.918 9.471
-2.759 0.506 -10.008
Ni B N Y Pr
2 2 3 1 2
direct
0.750 0.250 0.500
0.250 0.750 0.500
0.191 0.191 0.000
0.809 0.809 0.000
0.119 0.119 0.000
0.881 0.881 0.000
0.500 0.500 0.000
0.000 0.000 0.000
0.375 0.375 0.000
0.625 0.625 0.000
```

Computed properties:
Final energy ... -7.61 eV/atom
Volume ... 13.10 Å³/atom



No. 5
Sm2YPb7 after structural relaxation, computed with PBE.

```
Sm2YPb7
1.0
-11.660 7.372 -0.558
11.471 -5.919 4.897
2.443 3.775 -1.158
Pb Y Sm
7 1 2
direct
0.096 0.904 0.500
0.404 0.596 0.000
0.500 0.500 0.500
0.209 0.791 0.000
0.904 0.096 0.500
0.596 0.404 0.000
0.791 0.209 0.000
0.000 0.000 0.000
0.690 0.310 0.500
0.310 0.690 0.500
```

Computed properties:
Final energy ... -4.56 eV/atom
Volume ... 28.95 Å³/atom



No. 6
RbEr2 after structural relaxation, computed with PBE.

```
RbEr2
1.0
6.270 3.620 10.239
-6.270 3.620 10.239
0.000 -7.240 10.239
Er Rb
4 2
direct
0.375 0.375 0.375
0.875 0.375 0.375
0.375 0.875 0.375
0.375 0.375 0.875
0.250 0.250 0.250
0.500 0.500 0.500
```

Computed properties:
Final energy ... -0.72 eV/atom
Volume ... 232.38 Å³/atom



No. 7
ScPaW after structural relaxation, computed with PBE.

```
ScPaW
1.0
0.000 3.245 3.245
3.245 0.000 3.245
3.245 3.245 0.000
Pa W Sc
1 1 1
direct
0.250 0.250 0.250
0.750 0.750 0.750
0.000 0.000 0.000
```

Computed properties:
Final energy ... -8.52 eV/atom
Volume ... 22.77 Å³/atom



No. 8
NbFeAsAu after structural relaxation, computed with PBE.

```
NbFeAsAu
1.0
4.465 -0.792 -0.429
2.662 -0.094 3.695
1.761 -3.947 1.439
Nb Au As Fe
1 1 1 1
direct
0.500 0.500 0.500
0.250 0.250 0.250
0.000 0.000 0.000
0.750 0.750 0.750
```

Computed properties:
Final energy ... -6.23 eV/atom
Volume ... 16.71 Å³/atom



No. 9
Nd3FePb after structural relaxation, computed with PBE.

```
Nd3FePb
1.0
-0.572 1.921 -4.842
-5.199 0.332 0.746
0.581 4.885 1.871
Fe Pb Nd
1 1 3
direct
0.589 0.000 0.603
0.096 0.500 0.104
0.597 0.000 0.105
0.096 0.000 0.604
0.597 0.500 0.605
```

Computed properties:
Final energy ... -5.39 eV/atom
Volume ... 29.03 Å³/atom



No. 10
KZrNO after structural relaxation, computed with PBE.

```
KZrNO
1.0
-2.762 -1.928 -2.652
2.824 -3.160 -0.643
-3.942 -5.115 7.823
N Zr K O
2 2 2 2
direct
0.250 0.250 0.542
0.750 0.750 0.458
0.750 0.250 0.500
0.250 0.750 0.500
0.250 0.250 0.135
0.750 0.750 0.865
0.750 0.250 0.000
0.250 0.750 0.000
```

Computed properties:
Final energy ... -6.33 eV/atom
Volume ... 23.30 Å³/atom



No. 11
Al2CoCu5 after structural relaxation, computed with PBE.

```
Al2CoCu5
1.0
3.921 5.024 3.352
5.210 2.664 -4.196
-7.074 -1.010 -0.893
Co Al Cu
2 4 10
direct
0.250 0.250 0.000
0.500 0.000 0.500
0.749 0.249 0.500
0.499 0.499 0.000
0.001 0.001 0.000
0.251 0.751 0.500
0.375 0.374 0.499
0.875 0.876 0.501
0.126 0.125 0.501
0.750 0.750 0.000
0.624 0.125 0.999
0.875 0.374 0.999
0.624 0.625 0.499
0.375 0.876 0.001
0.126 0.625 0.001
0.000 0.500 0.500
```

Computed properties:
Final energy ... -4.26 eV/atom
Volume ... 12.01 Å³/atom



No. 12
ScZn2Hg after structural relaxation, computed with PBE.

```
ScZn2Hg
1.0
-2.474 0.150 -3.820
3.263 -4.613 -2.295
-5.045 -1.163 3.223
Zn Hg Sc
4 2 2
direct
0.750 0.143 0.825
0.750 0.688 0.840
0.250 0.840 0.688
0.250 0.825 0.143
0.750 0.154 0.340
0.250 0.340 0.154
0.750 0.670 0.339
0.250 0.339 0.670
```

Computed properties:
Final energy ... -2.55 eV/atom
Volume ... 18.37 Å³/atom